Entry 1:
BeTe2Se | SCAN | single point on PBEsol structure

Summary:
ΔE to the lowest computed polymorph (eV/atom): 0.000
Total moment (μB per atom): 0.000

a = 6.507 Å, b = 6.507 Å, c = 6.507 Å
α = 94.23°, β = 117.59°, γ = 117.59°
Element x y z (fractional)
Be1 0.000 0.500 0.500
Te1 0.056 0.875 0.431
Se1 0.500 0.750 0.250
Be2 0.500 0.250 0.750
Se2 0.000 0.000 0.000
Te2 0.444 0.569 0.625
Te3 0.944 0.375 0.819
Te4 0.556 0.181 0.125

Entry 2:
K4SrBr | SCAN | single point on PBEsol structure

Summary:
Total moment (μB per atom): 0.000

a = 7.946 Å, b = 7.946 Å, c = 7.946 Å
α = 60.00°, β = 60.00°, γ = 60.00°
Element x y z (fractional)
K1 0.374 0.374 0.877
K2 0.374 0.877 0.374
Sr1 0.750 0.750 0.750
Br1 0.000 0.000 0.000
K3 0.877 0.374 0.374
K4 0.374 0.374 0.374

Entry 3:
Hf2TcBrCl | SCAN | single point on PBEsol structure

Summary:
Total moment (μB per atom): 0.013

a = 4.439 Å, b = 4.956 Å, c = 4.956 Å
α = 90.00°, β = 90.00°, γ = 90.00°
Element x y z (fractional)
Tc1 0.500 0.000 0.000
Cl1 0.500 0.500 0.500
Hf1 0.000 0.500 0.000
Hf2 0.000 0.000 0.500
Br1 0.000 0.000 0.000

Entry 4:
EuHCl | SCAN | single point on PBEsol structure

Summary:
Total moment (μB per atom): 2.333

a = 3.919 Å, b = 3.919 Å, c = 6.772 Å
α = 90.00°, β = 90.00°, γ = 90.00°
Element x y z (fractional)
Cl1 0.000 0.500 0.350
Eu1 0.000 0.500 0.798
H1 0.500 0.500 0.000
Cl2 0.500 0.000 0.650
H2 0.000 0.000 0.000
Eu2 0.500 0.000 0.202

Entry 5:
TaTcAu | SCAN | single point on PBEsol structure

Summary:
ΔE to the lowest computed polymorph (eV/atom): 0.100
Total moment (μB per atom): 0.000
Energy relative to the elements (eV per atom): 0.19

a = 2.798 Å, b = 2.798 Å, c = 7.129 Å
α = 90.00°, β = 90.00°, γ = 120.00°
Element x y z (fractional)
Au1 0.000 0.000 0.004
Tc1 0.667 0.333 0.333
Ta1 0.333 0.667 0.663

Entry 6:
RbLiBeIr2 | SCAN | single point on PBEsol structure

Summary:
Total moment (μB per atom): 0.001
Energy relative to the elements (eV per atom): 1.55

a = 4.331 Å, b = 4.331 Å, c = 4.518 Å
α = 90.00°, β = 90.00°, γ = 90.00°
Element x y z (fractional)
Ir1 0.500 0.000 0.000
Li1 0.000 0.000 0.000
Rb1 0.000 0.000 0.500
Be1 0.500 0.500 0.500
Ir2 0.000 0.500 0.000

Entry 7:
CaZnFe | SCAN | single point on PBEsol structure

Summary:
Total moment (μB per atom): 1.054
Energy relative to the elements (eV per atom): 0.91

a = 4.643 Å, b = 4.643 Å, c = 4.643 Å
α = 60.00°, β = 60.00°, γ = 60.00°
Element x y z (fractional)
Fe1 0.000 0.000 0.000
Zn1 0.500 0.500 0.500
Ca1 0.250 0.250 0.250

Entry 8:
TaSnAsSe2 | SCAN | single point on PBEsol structure

Summary:
ΔE to the lowest computed polymorph (eV/atom): 1.242
Total moment (μB per atom): 0.342

a = 5.038 Å, b = 5.034 Å, c = 5.034 Å
α = 90.00°, β = 90.00°, γ = 90.00°
Element x y z (fractional)
Se1 0.000 0.500 0.000
Se2 0.000 0.000 0.500
As1 0.500 0.000 0.000
Sn1 0.000 0.000 0.000
Ta1 0.500 0.500 0.500

Entry 9:
YMn2CoRh | SCAN | single point on PBEsol structure

Summary:
Total moment (μB per atom): 2.020
Energy relative to the elements (eV per atom): 0.24

a = 4.572 Å, b = 4.606 Å, c = 4.606 Å
α = 90.00°, β = 90.00°, γ = 90.00°
Element x y z (fractional)
Co1 0.500 0.000 0.000
Y1 0.500 0.500 0.500
Rh1 0.000 0.000 0.000
Mn1 0.000 0.500 0.000
Mn2 0.000 0.000 0.500

Entry 10:
BN | SCAN | single point on PBEsol structure

Summary:
ΔE to the lowest computed polymorph (eV/atom): 0.000
Total moment (μB per atom): 0.000

a = 2.505 Å, b = 2.505 Å, c = 6.883 Å
α = 90.00°, β = 90.00°, γ = 120.00°
Element x y z (fractional)
B1 0.000 0.000 0.000
B2 0.667 0.333 0.500
N1 0.667 0.333 0.000
N2 0.333 0.667 0.500

Entry 11:
AgSbAsI2 | SCAN | single point on PBEsol structure

Summary:
Total moment (μB per atom): 0.224

a = 5.434 Å, b = 5.557 Å, c = 5.557 Å
α = 90.00°, β = 90.00°, γ = 90.00°
Element x y z (fractional)
Ag1 0.500 0.500 0.500
Sb1 0.500 0.000 0.000
I1 0.000 0.500 0.000
As1 0.000 0.000 0.000
I2 0.000 0.000 0.500

Entry 12:
SrRu2Cl | SCAN | single point on PBEsol structure

Summary:
ΔE to the lowest computed polymorph (eV/atom): 0.373
Total moment (μB per atom): 0.001

a = 3.256 Å, b = 4.256 Å, c = 5.717 Å
α = 90.00°, β = 90.00°, γ = 90.41°
Element x y z (fractional)
Sr1 0.000 0.000 0.500
Ru1 0.665 0.752 0.000
Cl1 0.500 0.500 0.500
Ru2 0.335 0.248 0.000

Number 1: E_tot -196.8 eV for the cell shown. Number 2: E_tot -75.8 eV for the cell shown. Number 3: E_tot -181.9 eV for the cell shown. Number 4: E_tot -140.6 eV for the cell shown. Number 5: E_tot -170.2 eV for the cell shown. Number 6: E_tot -161.9 eV for the cell shown. Number 7: E_tot -38.6 eV for the cell shown. Number 8: E_tot -156.5 eV for the cell shown. Number 9: E_tot -114.2 eV for the cell shown. Number 10: E_tot -39.3 eV for the cell shown. Number 11: E_tot -159.2 eV for the cell shown. Number 12: E_tot -99.3 eV for the cell shown.